## ReW2 (GGA-PBE)

Data for crystalline ReW2 at its relaxed geometry.

relative energy among the computed polymorphs	0.93	eV per formula unit
calculated formation energy	0.34	eV/atom
E_tot	-149.32	eV/cell
space group	Cmcm (63)

Lattice parameters (Å, degrees): 5.1890 5.1890 8.4191 90.00 90.00 119.87
Fractional positions:
1 W 0.3292 0.6708 0.9474
2 W 0.6708 0.3292 0.0526
3 W 0.0000 0.0000 0.0000
4 W 0.3292 0.6708 0.5526
5 W 0.6708 0.3292 0.4474
6 W 0.8270 0.1730 0.7500
7 W 0.1730 0.8270 0.2500
8 W 0.0000 0.0000 0.5000
9 Re 0.8227 0.6595 0.7500
10 Re 0.3405 0.1773 0.7500
11 Re 0.6595 0.8227 0.2500
12 Re 0.1773 0.3405 0.2500